Material: Ce6Co2IrCl3
Method: DFT, GGA-PBE
State: relaxed

Calculated values
ρ in g/cm³: 6.95
Uncorrected energy in eV/atom: -6.282
Calculated volume in Å³ per atom: 25.02

Structure (CIF):
```
data_Ce6Co2IrCl3
_cell_length_a 6.8737
_cell_length_b 11.8964
_cell_length_c 7.6929
_cell_angle_alpha 90.00
_cell_angle_beta 107.35
_cell_angle_gamma 90.00
_space_group_name_H-M_alt 'C 1 2/m 1'
_space_group_IT_number 12
loop_
_space_group_symop_operation_xyz
'x,y,z'
'-x,-y,-z'
'-x,y,-z'
'x,-y,z'
'x+1/2,y+1/2,z'
'-x+1/2,-y+1/2,-z'
'-x+1/2,y+1/2,-z'
'x+1/2,-y+1/2,z'
loop_
_atom_site_label
_atom_site_type_symbol
_atom_site_fract_x
_atom_site_fract_y
_atom_site_fract_z
_atom_site_occupancy
Ce1 Ce 0.2234 0.0000 0.2028 1
Ce2 Ce 0.2396 0.3279 0.2033 1
Co1 Co 0.0000 0.1666 0.0000 1
Ir1 Ir 0.0000 0.5000 0.0000 1
Cl1 Cl 0.0000 0.0000 0.5000 1
Cl2 Cl 0.0000 0.3340 0.5000 1
```

---

Material: Y2Er5Pd2
Method: DFT, GGA-PBE
State: relaxed

Calculated values
ρ in g/cm³: 8.08
Uncorrected energy in eV/atom: -5.461
E_form in eV per atom: -0.336
Calculated volume in Å³ per atom: 28.00

Structure (CIF):
```
data_Y2Er5Pd2
_cell_length_a 20.1909
_cell_length_b 7.0944
_cell_length_c 7.0382
_cell_angle_alpha 90.00
_cell_angle_beta 90.00
_cell_angle_gamma 90.00
_space_group_name_H-M_alt 'C m c e'
_space_group_IT_number 64
_space_group_name_Hall '-C 2ac 2'
loop_
_atom_site_label
_atom_site_type_symbol
_atom_site_fract_x
_atom_site_fract_y
_atom_site_fract_z
_atom_site_occupancy
Y1 Y 0.2324 0.0000 0.0000 1
Er1 Er 0.0000 0.0000 0.0000 1
Er2 Er 0.1127 0.1755 0.3260 1
Pd1 Pd 0.0000 0.1347 0.6337 1
```

---

Material: SrCa4Cd4
Method: DFT, GGA-PBE
State: relaxed

Calculated values
ρ in g/cm³: 3.47
Uncorrected energy in eV/atom: -1.643
E_form in eV per atom: -0.159
Calculated volume in Å³ per atom: 37.07

Structure (CIF):
```
data_SrCa4Cd4
_cell_length_a 10.2444
_cell_length_b 10.2444
_cell_length_c 6.3586
_cell_angle_alpha 90.00
_cell_angle_beta 90.00
_cell_angle_gamma 90.00
_space_group_name_H-M_alt 'P 42/n'
_space_group_IT_number 86
loop_
_space_group_symop_operation_xyz
'x,y,z'
'-x,-y,-z'
'-y,x+1/2,z+1/2'
'y,-x+1/2,-z+1/2'
'-x+1/2,-y+1/2,z'
'x+1/2,y+1/2,-z'
'y+1/2,-x,z+1/2'
'-y+1/2,x,-z+1/2'
loop_
_atom_site_label
_atom_site_type_symbol
_atom_site_fract_x
_atom_site_fract_y
_atom_site_fract_z
_atom_site_occupancy
Sr1 Sr 0.2500 0.2500 0.2500 1
Ca1 Ca 0.0904 0.6501 0.1385 1
Cd1 Cd 0.0380 0.6063 0.6394 1
```

---

Material: Pr2H5
Method: DFT, GGA-PBE
State: relaxed

Calculated values
ρ in g/cm³: 5.76
Uncorrected energy in eV/atom: -4.324
Calculated volume in Å³ per atom: 11.81

Structure (CIF):
```
data_Pr2H5
_cell_length_a 5.7990
_cell_length_b 11.4646
_cell_length_c 4.9746
_cell_angle_alpha 90.00
_cell_angle_beta 90.00
_cell_angle_gamma 90.00
_space_group_name_H-M_alt 'I b a m'
_space_group_IT_number 72
_space_group_name_Hall '-I 2 2c'
loop_
_atom_site_label
_atom_site_type_symbol
_atom_site_fract_x
_atom_site_fract_y
_atom_site_fract_z
_atom_site_occupancy
Pr1 Pr 0.2384 0.1209 0.0000 1
H1 H 0.0000 0.2567 0.2500 1
H2 H 0.0000 0.5000 0.2500 1
H3 H 0.1612 0.0824 0.5000 1
```

---

Material: KNi2Pt2
Method: DFT, GGA-PBE
State: relaxed

Calculated values
ρ in g/cm³: 11.07
Uncorrected energy in eV/atom: -4.817
E_form in eV per atom: 0.131
Calculated volume in Å³ per atom: 16.40
E above lowest polymorph in meV per atom: 29.1

Structure (CIF):
```
data_KNi2Pt2
_cell_length_a 7.8229
_cell_length_b 7.8229
_cell_length_c 2.6800
_cell_angle_alpha 90.00
_cell_angle_beta 90.00
_cell_angle_gamma 90.00
_space_group_name_H-M_alt 'P 4/m b m'
_space_group_IT_number 127
_space_group_name_Hall '-P 4 2ab'
loop_
_atom_site_label
_atom_site_type_symbol
_atom_site_fract_x
_atom_site_fract_y
_atom_site_fract_z
_atom_site_occupancy
K1 K 0.0000 0.0000 0.0000 1
Ni1 Ni 0.1683 0.3317 0.5000 1
Pt1 Pt 0.1277 0.6276 0.0000 1
```

---

Material: TmCd2Pt
Method: DFT, GGA-PBE
State: relaxed

Calculated values
ρ in g/cm³: 10.93
Uncorrected energy in eV/atom: -2.995
E_form in eV per atom: 0.091
Calculated volume in Å³ per atom: 22.36

Structure (CIF):
```
data_TmCd2Pt
_cell_length_a 3.1199
_cell_length_b 3.1199
_cell_length_c 31.8248
_cell_angle_alpha 90.00
_cell_angle_beta 90.00
_cell_angle_gamma 120.00
_space_group_name_H-M_alt 'R -3 m'
_space_group_IT_number 166
_space_group_name_Hall '-R 3 2"'
loop_
_atom_site_label
_atom_site_type_symbol
_atom_site_fract_x
_atom_site_fract_y
_atom_site_fract_z
_atom_site_occupancy
Tm1 Tm 0.0000 0.0000 0.0000 1
Cd1 Cd 0.0000 0.0000 0.0969 1
Pt1 Pt 0.0000 0.0000 0.5000 1
```

---

Material: TbHo3Ru
Method: DFT, GGA-PBE
State: relaxed

Calculated values
ρ in g/cm³: 8.11
Uncorrected energy in eV/atom: -5.594
E_form in eV per atom: -0.066
Calculated volume in Å³ per atom: 30.89
E above lowest polymorph in meV per atom: 79.6

Structure (CIF):
```
data_TbHo3Ru
_cell_length_a 5.3655
_cell_length_b 5.3655
_cell_length_c 5.3655
_cell_angle_alpha 90.00
_cell_angle_beta 90.00
_cell_angle_gamma 90.00
_space_group_name_H-M_alt 'P m -3 m'
_space_group_IT_number 221
_space_group_name_Hall '-P 4 2 3'
loop_
_atom_site_label
_atom_site_type_symbol
_atom_site_fract_x
_atom_site_fract_y
_atom_site_fract_z
_atom_site_occupancy
Tb1 Tb 0.0000 0.0000 0.0000 1
Ho1 Ho 0.0000 0.5000 0.5000 1
Ru1 Ru 0.5000 0.5000 0.5000 1
```

---

Material: LiB2Pt
Method: DFT, GGA-PBE
State: relaxed

Calculated values
ρ in g/cm³: 9.87
Uncorrected energy in eV/atom: -5.137
E_form in eV per atom: 0.191
Calculated volume in Å³ per atom: 9.41
E above lowest polymorph in meV per atom: 156.3

Structure (CIF):
```
data_LiB2Pt
_cell_length_a 5.3195
_cell_length_b 5.3195
_cell_length_c 5.3195
_cell_angle_alpha 90.00
_cell_angle_beta 90.00
_cell_angle_gamma 90.00
_space_group_name_H-M_alt 'F m -3 m'
_space_group_IT_number 225
_space_group_name_Hall '-F 4 2 3'
loop_
_atom_site_label
_atom_site_type_symbol
_atom_site_fract_x
_atom_site_fract_y
_atom_site_fract_z
_atom_site_occupancy
Li1 Li 0.0000 0.0000 0.0000 1
B1 B 0.2500 0.2500 0.2500 1
Pt1 Pt 0.0000 0.0000 0.5000 1
```